# LaTi3Rh | Alexandria via LeMat-Bulk | GGA-PBE | relaxed
data_LaTi3Rh
_cell_length_a 4.834
_cell_length_b 4.834
_cell_length_c 4.834
_cell_angle_alpha 90.00
_cell_angle_beta 90.00
_cell_angle_gamma 90.00
_symmetry_space_group_name_H-M 'P m -3 m'
_symmetry_Int_Tables_number 221
_symmetry_space_group_name_Hall '-P 4 2 3'
loop_
_atom_site_label
_atom_site_type_symbol
_atom_site_fract_x
_atom_site_fract_y
_atom_site_fract_z
La1 La 0.000 0.000 0.000
Ti1 Ti 0.000 0.500 0.500
Rh1 Rh 0.500 0.500 0.500
# **Total energy**: -7.105 eV per atom
# **Relative energy among the computed polymorphs**: 0 meV per atom
# **E_form**: 8 kJ/mol of atoms



# La2TiRh2 | Alexandria via LeMat-Bulk | GGA-PBE | relaxed
data_La2TiRh2
_cell_length_a 7.017
_cell_length_b 7.017
_cell_length_c 4.603
_cell_angle_alpha 90.00
_cell_angle_beta 90.00
_cell_angle_gamma 90.00
_symmetry_space_group_name_H-M 'P 4/m b m'
_symmetry_Int_Tables_number 127
_symmetry_space_group_name_Hall '-P 4 2ab'
loop_
_atom_site_label
_atom_site_type_symbol
_atom_site_fract_x
_atom_site_fract_y
_atom_site_fract_z
La1 La 0.168 0.332 0.000
Ti1 Ti 0.000 0.000 0.500
Rh1 Rh 0.149 0.649 0.500
# **Total energy**: -6.980 eV per atom
# **E_form**: -47 kJ/mol of atoms



# LaTi2Rh2 | Alexandria via LeMat-Bulk | GGA-PBE | relaxed
data_LaTi2Rh2
_cell_length_a 7.824
_cell_length_b 7.824
_cell_length_c 2.928
_cell_angle_alpha 90.00
_cell_angle_beta 90.00
_cell_angle_gamma 90.00
_symmetry_space_group_name_H-M 'P 4/m b m'
_symmetry_Int_Tables_number 127
_symmetry_space_group_name_Hall '-P 4 2ab'
loop_
_atom_site_label
_atom_site_type_symbol
_atom_site_fract_x
_atom_site_fract_y
_atom_site_fract_z
La1 La 0.000 0.000 0.000
Ti1 Ti 0.142 0.358 0.000
Rh1 Rh 0.144 0.644 0.500
# **Total energy**: -7.569 eV per atom
# **Relative energy among the computed polymorphs**: 169 meV per atom
# **E_form**: -47 kJ/mol of atoms



# La2YTiRh | Alexandria via LeMat-Bulk | GGA-PBE | relaxed
data_La2YTiRh
_cell_length_a 5.809
_cell_length_b 5.809
_cell_length_c 4.807
_cell_angle_alpha 90.00
_cell_angle_beta 90.00
_cell_angle_gamma 90.00
_symmetry_space_group_name_H-M 'P 4/m m m'
_symmetry_Int_Tables_number 123
_symmetry_space_group_name_Hall '-P 4 2'
loop_
_atom_site_label
_atom_site_type_symbol
_atom_site_fract_x
_atom_site_fract_y
_atom_site_fract_z
La1 La 0.000 0.500 0.000
Y1 Y 0.000 0.000 0.000
Ti1 Ti 0.500 0.500 0.500
Rh1 Rh 0.000 0.000 0.500
# **Total energy**: -5.282 eV per atom
# **E_form**: 99 kJ/mol of atoms